[1]
GeMoPO2: optimized geometry, GGA-PBEsol.

abc: 3.789 3.789 5.055
angles: 90.00 90.00 90.00
Sites, in units of the cell vectors:
O 0.500 0.000 0.000
O 0.000 0.500 0.000
Mo 0.000 0.000 0.000
Ge 0.500 0.500 0.500
P 0.000 0.000 0.500

Properties
**Magnetic moment**: 0.0 Bohr magnetons per cell
**Formation energy (no corrections)**: -0.8715 eV/atom
**Space-group type**: No. 123
**Volume**: 72.58 Å³/cell

---

[2]
MgMoRh: optimized geometry, GGA-PBEsol.

abc: 4.209 4.209 4.209
angles: 60.00 60.00 60.00
Sites, in units of the cell vectors:
Mg 0.750 0.750 0.750
Rh 0.500 0.500 0.500
Mo 0.000 0.000 0.000

Properties
**Magnetic moment**: 2.4 Bohr magnetons per cell
**Space-group type**: No. 216
**Volume**: 52.71 Å³/cell
**Formation energy from the elements**: 1.253 eV/atom
**Energy relative to the lowest polymorph listed for this composition**: 1.198 eV/atom

---

[3]
NbAs2IBr: optimized geometry, GGA-PBEsol.

abc: 5.235 5.235 5.355
angles: 90.00 90.00 90.00
Sites, in units of the cell vectors:
Nb 0.500 0.500 0.500
As 0.500 0.000 0.000
As 0.000 0.500 0.000
I 0.000 0.000 0.000
Br 0.000 0.000 0.500

Properties
**Magnetic moment**: 2.4 Bohr magnetons per cell
**Formation energy (no corrections)**: 1.5821 eV/atom
**Space-group type**: No. 123
**Volume**: 146.77 Å³/cell